# 1
First-principles (PBE) data for a relaxed structure of Na2AlNi, as listed in the Alexandria database.

Geometry as CIF:
```
data_Na2AlNi
_space_group_name_H-M_alt 'I -4 2 d'
_space_group_IT_number 122
_space_group_name_Hall 'I -4 2bw'
_cell_length_a 3.709
_cell_length_b 3.709
_cell_length_c 21.694
_cell_angle_alpha 90.00
_cell_angle_beta 90.00
_cell_angle_gamma 90.00
loop_
_atom_site_label
_atom_site_type_symbol
_atom_site_fract_x
_atom_site_fract_y
_atom_site_fract_z
Na1 Na 0.241 0.250 0.125
Al1 Al 0.000 0.000 0.500
Ni1 Ni 0.000 0.000 0.000
```

* calculated formation energy: 0.379 eV per atom
* DOS at the Fermi energy: 7.444 states/eV/cell
* VASP energy: -42.579 eV/cell
* spin magnetization: 0.000 μB per formula unit

# 2
First-principles (PBE) data for a relaxed structure of NaAl2Ni, as listed in the Alexandria database.

Geometry as CIF:
```
data_NaAl2Ni
_space_group_name_H-M_alt 'I -4 2 d'
_space_group_IT_number 122
_space_group_name_Hall 'I -4 2bw'
_cell_length_a 5.369
_cell_length_b 5.369
_cell_length_c 14.559
_cell_angle_alpha 90.00
_cell_angle_beta 90.00
_cell_angle_gamma 90.00
loop_
_atom_site_label
_atom_site_type_symbol
_atom_site_fract_x
_atom_site_fract_y
_atom_site_fract_z
Na1 Na 0.000 0.000 0.000
Al1 Al 0.002 0.750 0.625
Ni1 Ni 0.000 0.000 0.500
```

* calculated formation energy: 0.226 eV per atom
* DOS at the Fermi energy: 5.937 states/eV/cell
* VASP energy: -54.732 eV/cell
* spin magnetization: 0.000 μB per formula unit

# 3
First-principles (PBE) data for a relaxed structure of Na3AlNi, as listed in the Alexandria database.

Geometry as CIF:
```
data_Na3AlNi
_space_group_name_H-M_alt 'P m -3 m'
_space_group_IT_number 221
_space_group_name_Hall '-P 4 2 3'
_cell_length_a 5.241
_cell_length_b 5.241
_cell_length_c 5.241
_cell_angle_alpha 90.00
_cell_angle_beta 90.00
_cell_angle_gamma 90.00
loop_
_atom_site_label
_atom_site_type_symbol
_atom_site_fract_x
_atom_site_fract_y
_atom_site_fract_z
Na1 Na 0.000 0.000 0.500
Al1 Al 0.500 0.500 0.500
Ni1 Ni 0.000 0.000 0.000
```

* calculated formation energy: 0.691 eV per atom
* DOS at the Fermi energy: 3.938 states/eV/cell
* ΔE to the lowest computed polymorph: 0.0000 eV per atom
* VASP energy: -10.026 eV/cell
* spin magnetization: 0.000 μB per formula unit

# 4
First-principles (PBE) data for a relaxed structure of NaAl9Ni3, as listed in the Alexandria database.

Geometry as CIF:
```
data_NaAl9Ni3
_space_group_name_H-M_alt 'C 1 2/m 1'
_space_group_IT_number 12
_space_group_name_Hall '-C 2y'
_cell_length_a 5.113
_cell_length_b 12.474
_cell_length_c 6.631
_cell_angle_alpha 90.00
_cell_angle_beta 111.55
_cell_angle_gamma 90.00
loop_
_atom_site_label
_atom_site_type_symbol
_atom_site_fract_x
_atom_site_fract_y
_atom_site_fract_z
Na1 Na 0.000 0.000 0.000
Al1 Al 0.000 0.000 0.500
Al2 Al 0.095 0.387 0.215
Al3 Al 0.167 0.177 0.334
Ni1 Ni 0.000 0.500 0.500
Ni2 Ni 0.250 0.250 0.000
```

* calculated formation energy: -0.315 eV per atom
* DOS at the Fermi energy: 9.312 states/eV/cell
* VASP energy: -112.870 eV/cell
* spin magnetization: 0.000 μB per formula unit

# 5
First-principles (PBE) data for a relaxed structure of Na2AlNi2, as listed in the Alexandria database.

Geometry as CIF:
```
data_Na2AlNi2
_space_group_name_H-M_alt 'P 4/m b m'
_space_group_IT_number 127
_space_group_name_Hall '-P 4 2ab'
_cell_length_a 6.008
_cell_length_b 6.008
_cell_length_c 4.966
_cell_angle_alpha 90.00
_cell_angle_beta 90.00
_cell_angle_gamma 90.00
loop_
_atom_site_label
_atom_site_type_symbol
_atom_site_fract_x
_atom_site_fract_y
_atom_site_fract_z
Na1 Na 0.176 0.324 0.000
Al1 Al 0.000 0.000 0.500
Ni1 Ni 0.135 0.635 0.500
```

* calculated formation energy: 0.101 eV per atom
* DOS at the Fermi energy: 3.019 states/eV/cell
* ΔE to the lowest computed polymorph: 0.0000 eV per atom
* VASP energy: -34.877 eV/cell
* spin magnetization: 0.000 μB per formula unit